Entry 1:
The following is a PBE-GGA calculation of Ta2TiNb2 after structural relaxation, from the Alexandria database.

Geometry as CIF:
```
data_Ta2TiNb2
_chemical_formula_sum 'Ta4 Ti2 Nb4'
_cell_length_a 4.7458
_cell_length_b 5.8238
_cell_length_c 6.9428
_cell_angle_alpha 90.00
_cell_angle_beta 90.00
_cell_angle_gamma 90.00
_symmetry_space_group_name_H-M 'I m m m'
_symmetry_Int_Tables_number 71
_symmetry_space_group_name_Hall '-I 2 2'
loop_
_atom_site_label
_atom_site_type_symbol
_atom_site_fract_x
_atom_site_fract_y
_atom_site_fract_z
Ta1 Ta 0.0000 0.0000 0.1831
Ti1 Ti 0.0000 0.5000 0.0000
Nb1 Nb 0.0000 0.2639 0.5000
```

Results
energy relative to the lowest polymorph listed for this composition	405	meV per atom

=====

Entry 2:
The following is a PBE-GGA calculation of Tm4Tl3Ga after structural relaxation, from the Alexandria database.

Geometry as CIF:
```
data_Tm4Tl3Ga
_chemical_formula_sum 'Tm4 Tl3 Ga1'
_cell_length_a 3.5991
_cell_length_b 3.5991
_cell_length_c 15.6476
_cell_angle_alpha 90.00
_cell_angle_beta 90.00
_cell_angle_gamma 90.00
_symmetry_space_group_name_H-M 'P 4/m m m'
_symmetry_Int_Tables_number 123
_symmetry_space_group_name_Hall '-P 4 2'
loop_
_atom_site_label
_atom_site_type_symbol
_atom_site_fract_x
_atom_site_fract_y
_atom_site_fract_z
Tm1 Tm 0.0000 0.0000 0.1109
Tm2 Tm 0.0000 0.0000 0.3704
Tl1 Tl 0.5000 0.5000 0.2420
Tl2 Tl 0.5000 0.5000 0.5000
Ga1 Ga 0.5000 0.5000 0.0000
```

=====

Energy of formation (computed, kJ per mole of atoms): 40; -35
Magnetization (computed, μB/atom): 0.00; 0.00